# PBE-GGA DyFeCo, relaxed
# Crystal system: hexagonal
# Formation energy from the elements in eV/atom: -0.110
data_DyFeCo
_symmetry_space_group_name_H-M 'P -6 m 2'
_symmetry_Int_Tables_number 187
_symmetry_space_group_name_Hall 'P -6 2'
_cell_length_a 3.8584
_cell_length_b 3.8584
_cell_length_c 4.0703
_cell_angle_alpha 90.00
_cell_angle_beta 90.00
_cell_angle_gamma 120.00
loop_
_atom_site_label
_atom_site_type_symbol
_atom_site_fract_x
_atom_site_fract_y
_atom_site_fract_z
Dy1 Dy 0.0000 0.0000 0.0000
Fe1 Fe 0.3333 0.6667 0.5000
Co1 Co 0.6667 0.3333 0.5000